BiIrC2 | PBE | relaxed

Cell and atoms, written as POSCAR:
```
BiIrC2
1.0
4.2853 0.0000 0.0000
0.1330 5.5329 0.0000
1.3751 1.4020 5.5717
Bi Ir C
2 2 4
Direct
0.0000 0.0000 0.0000
0.3454 0.0328 0.4421
0.0769 0.5486 0.8305
0.4509 0.6144 0.2021
0.0138 0.4469 0.3745
0.4940 0.5318 0.5909
0.8144 0.4911 0.5958
0.8785 0.4804 0.1783
```

Results
DFT formation energy = 71.8 kJ/mol of atoms
space group = No. 1

BiIr2C | PBE | relaxed

Cell and atoms, written as POSCAR:
```
BiIr2C
1.0
0.0000 3.1654 3.1654
3.1654 0.0000 3.1654
3.1654 3.1654 0.0000
Bi Ir C
1 2 1
Direct
0.0000 0.0000 0.0000
0.2500 0.2500 0.2500
0.7500 0.7500 0.7500
0.5000 0.5000 0.5000
```

Results
DFT formation energy = 165.0 kJ/mol of atoms
space group = No. 225

Bi2IrC | PBE | relaxed

Cell and atoms, written as POSCAR:
```
Bi2IrC
1.0
-2.9823 2.9823 5.3804
2.9823 -2.9823 5.3804
2.9823 2.9823 -5.3804
Bi Ir C
4 2 2
Direct
0.0858 0.6250 0.9608
0.3750 0.3358 0.4608
0.6642 0.1250 0.0392
0.8750 0.9142 0.5392
0.2500 0.7500 0.5000
0.5000 0.5000 0.0000
0.0000 0.0000 0.0000
0.7500 0.2500 0.5000
```

Results
DFT formation energy = 104.6 kJ/mol of atoms
space group = No. 122

BiIrC2 | PBE | relaxed

Cell and atoms, written as POSCAR:
```
BiIrC2
1.0
4.5130 0.0000 0.0000
-1.7835 5.4749 0.0000
-1.5517 -2.2358 5.6417
Bi Ir C
2 2 4
Direct
0.0000 0.0000 0.0000
0.1123 0.4900 0.8277
0.3971 0.7741 0.5596
0.4350 0.2596 0.4967
0.6443 0.0162 0.4223
0.6710 0.5842 0.4554
0.9083 0.9707 0.3626
0.9336 0.7382 0.4087
```

Results
DFT formation energy = 65.8 kJ/mol of atoms
space group = No. 1

BiIrC2 | PBE | relaxed

Cell and atoms, written as POSCAR:
```
BiIrC2
1.0
3.0765 0.0000 0.0000
0.0000 2.0333 5.1498
0.0000 -2.0333 5.1498
Bi Ir C
1 1 2
Direct
0.0000 0.0000 0.0000
0.0000 0.2919 0.2919
0.5000 0.5923 0.9200
0.5000 0.9200 0.5923
```

Results
DFT formation energy = 74.4 kJ/mol of atoms
space group = No. 38

BiIrC3 | PBE | relaxed

Cell and atoms, written as POSCAR:
```
BiIrC3
1.0
4.3551 0.0000 0.0000
0.0000 4.3551 0.0000
0.0000 0.0000 4.3551
Bi Ir C
1 1 3
Direct
0.0000 0.0000 0.0000
0.5000 0.5000 0.5000
0.0000 0.0000 0.5000
0.0000 0.5000 0.0000
0.5000 0.0000 0.0000
```

Results
DFT formation energy = 370.8 kJ/mol of atoms
space group = No. 221

Bi3IrC | PBE | relaxed

Cell and atoms, written as POSCAR:
```
Bi3IrC
1.0
4.8324 0.0000 0.0000
0.0000 4.8324 0.0000
0.0000 0.0000 4.8324
Bi Ir C
3 1 1
Direct
0.0000 0.0000 0.5000
0.0000 0.5000 0.0000
0.5000 0.0000 0.0000
0.5000 0.5000 0.5000
0.0000 0.0000 0.0000
```

Results
DFT formation energy = 122.3 kJ/mol of atoms
space group = No. 221

BiIrC2 | PBE | relaxed

Cell and atoms, written as POSCAR:
```
BiIrC2
1.0
4.9963 0.0000 0.0000
-1.8970 4.9347 0.0000
-0.2952 -2.2774 5.5168
Bi Ir C
2 2 4
Direct
0.0000 0.0000 0.0000
0.3326 0.5969 0.8667
0.0906 0.0123 0.4814
0.3031 0.5777 0.3843
0.5319 0.1509 0.4382
0.6235 0.4163 0.4020
0.6600 0.9647 0.4495
0.9099 0.5904 0.4109
```

Results
DFT formation energy = 57.4 kJ/mol of atoms
space group = No. 1

BiIrC2 | PBE | relaxed

Cell and atoms, written as POSCAR:
```
BiIrC2
1.0
5.8669 0.0000 0.0000
0.0000 5.2762 2.3790
0.0000 -5.2762 2.3790
Bi Ir C
2 2 4
Direct
0.0000 0.1574 0.8426
0.0000 0.8426 0.1574
0.5000 0.1676 0.8415
0.5000 0.8415 0.1676
0.5000 0.3139 0.4443
0.5000 0.4443 0.3139
0.5000 0.4474 0.7460
0.5000 0.7460 0.4474
```

Results
DFT formation energy = 61.1 kJ/mol of atoms
space group = No. 38

BiIrC2 | PBE | relaxed

Cell and atoms, written as POSCAR:
```
BiIrC2
1.0
-2.6409 2.6409 4.7484
2.6409 -2.6409 4.7484
2.6409 2.6409 -4.7484
Bi Ir C
2 2 4
Direct
0.0000 0.0000 0.0000
0.7500 0.2500 0.5000
0.2500 0.7500 0.5000
0.5000 0.5000 0.0000
0.2102 0.6250 0.0852
0.3750 0.4602 0.5852
0.5398 0.1250 0.9148
0.8750 0.7898 0.4148
```

Results
DFT formation energy = 109.3 kJ/mol of atoms
space group = No. 122

BiIrC3 | PBE | relaxed

Cell and atoms, written as POSCAR:
```
BiIrC3
1.0
4.0906 0.0000 0.0000
0.0000 4.0906 0.0000
0.0000 0.0000 4.0906
Bi Ir C
1 1 3
Direct
0.0000 0.0000 0.0000
0.5000 0.5000 0.5000
0.0000 0.5000 0.5000
0.5000 0.0000 0.5000
0.5000 0.5000 0.0000
```

Results
DFT formation energy = 194.9 kJ/mol of atoms
space group = No. 221

Bi3IrC | PBE | relaxed

Cell and atoms, written as POSCAR:
```
Bi3IrC
1.0
5.3556 0.0000 0.0000
0.0000 5.3556 0.0000
0.0000 0.0000 5.3556
Bi Ir C
3 1 1
Direct
0.0000 0.0000 0.5000
0.0000 0.5000 0.0000
0.5000 0.0000 0.0000
0.0000 0.0000 0.0000
0.5000 0.5000 0.5000
```

Results
DFT formation energy = 169.7 kJ/mol of atoms
space group = No. 221